VASP calculation (GGA-PBE) on TbNp2Te5 after structural relaxation.

Lattice parameters (Å, degrees): 7.407 7.407 5.402 90.00 90.00 90.00
Atoms (fractional coordinates):
Tb  0.000  0.000  0.000
Np  0.000  0.500  0.500
Np  0.500  0.000  0.500
Te  0.000  0.000  0.500
Te  0.282  0.282  0.000
Te  0.282  0.718  0.000
Te  0.718  0.282  0.000
Te  0.718  0.718  0.000

uncorrected energy	-5.92	eV/atom
crystal system	tetragonal
symmetry	P4/mmm


VASP calculation (GGA-PBE) on MnSeI after structural relaxation.

Lattice parameters (Å, degrees): 6.599 3.935 7.352 90.00 101.61 90.00
Atoms (fractional coordinates):
Mn  0.226  0.250  0.014
Mn  0.774  0.750  0.986
Se  0.117  0.750  0.189
Se  0.883  0.250  0.811
I  0.382  0.750  0.767
I  0.618  0.250  0.233

uncorrected energy	-5.09	eV/atom
crystal system	monoclinic
symmetry	P2_1/m


VASP calculation (GGA-PBE) on Cd2In2Ge after structural relaxation.

Lattice parameters (Å, degrees): 7.392 7.392 4.628 90.00 90.00 90.00
Atoms (fractional coordinates):
Cd  0.140  0.360  0.000
Cd  0.360  0.860  0.000
Cd  0.640  0.140  0.000
Cd  0.860  0.640  0.000
In  0.169  0.669  0.500
In  0.331  0.169  0.500
In  0.669  0.831  0.500
In  0.831  0.331  0.500
Ge  0.000  0.000  0.000
Ge  0.500  0.500  0.000

uncorrected energy	-2.22	eV/atom
crystal system	tetragonal
symmetry	P4/mbm
energy above the most stable polymorph in this dataset	0	meV per atom
ΔH_f (0 K)	0.166	eV/atom


VASP calculation (GGA-PBE) on HoScGa4 after structural relaxation.

Lattice parameters (Å, degrees): 4.359 6.906 7.574 90.00 90.00 90.00
Atoms (fractional coordinates):
Ho  0.000  0.000  0.000
Ho  0.500  0.500  0.500
Sc  0.000  0.500  0.000
Sc  0.500  0.000  0.500
Ga  0.000  0.239  0.334
Ga  0.000  0.239  0.666
Ga  0.000  0.761  0.334
Ga  0.000  0.761  0.666
Ga  0.500  0.261  0.166
Ga  0.500  0.261  0.834
Ga  0.500  0.739  0.166
Ga  0.500  0.739  0.834

uncorrected energy	-4.41	eV/atom
crystal system	orthorhombic
symmetry	Immm
energy above the most stable polymorph in this dataset	0	meV per atom
ΔH_f (0 K)	-0.571	eV/atom


VASP calculation (GGA-PBE) on Sm5Ho2Tm12 after structural relaxation.

Lattice parameters (Å, degrees): 6.109 9.338 10.579 101.03 95.62 90.03
Atoms (fractional coordinates):
Sm  0.000  0.000  0.000
Sm  0.158  0.632  0.947
Sm  0.263  0.053  0.579
Sm  0.737  0.947  0.421
Sm  0.842  0.368  0.053
Ho  0.420  0.682  0.526
Ho  0.580  0.318  0.474
Tm  0.054  0.212  0.316
Tm  0.104  0.422  0.631
Tm  0.211  0.841  0.263
Tm  0.317  0.263  0.895
Tm  0.369  0.473  0.211
Tm  0.474  0.894  0.842
Tm  0.526  0.106  0.158
Tm  0.631  0.527  0.789
Tm  0.683  0.737  0.105
Tm  0.789  0.159  0.737
Tm  0.896  0.578  0.369
Tm  0.946  0.788  0.684

uncorrected energy	-4.52	eV/atom
crystal system	triclinic
symmetry	P-1
energy above the most stable polymorph in this dataset	0	meV per atom
ΔH_f (0 K)	0.024	eV/atom


VASP calculation (GGA-PBE) on Ac2InSb after structural relaxation.

Lattice parameters (Å, degrees): 4.907 26.436 4.736 90.00 90.00 90.00
Atoms (fractional coordinates):
Ac  0.000  0.064  0.250
Ac  0.000  0.315  0.250
Ac  0.000  0.685  0.750
Ac  0.000  0.936  0.750
Ac  0.500  0.185  0.750
Ac  0.500  0.436  0.750
Ac  0.500  0.564  0.250
Ac  0.500  0.815  0.250
In  0.000  0.463  0.250
In  0.000  0.537  0.750
In  0.500  0.037  0.750
In  0.500  0.963  0.250
Sb  0.000  0.189  0.250
Sb  0.000  0.811  0.750
Sb  0.500  0.311  0.750
Sb  0.500  0.689  0.250

uncorrected energy	-4.57	eV/atom
crystal system	orthorhombic
symmetry	Cmcm
energy above the most stable polymorph in this dataset	0	meV per atom


The evaluated N(E_F) for the records listed, in turn: 18.750 1.184 2.377 2.726 25.568 2.935 states/eV/f.u..